Record 1
# SrGaHg2Pb

An optimized crystal structure of SrGaHg2Pb (GGA-PBE, Alexandria).

It has space group P4/mmm (No. 123), with a = 5.2786 Å, b = 5.2786 Å, c = 5.6637 Å, α = 90.00°, β = 90.00° and γ = 90.00°. The asymmetric unit holds Sr at (0.0000, 0.0000, 0.0000), Ga at (0.5000, 0.5000, 0.5000), Hg at (0.0000, 0.5000, 0.5000) and Pb at (0.5000, 0.5000, 0.0000).

The density of states at the Fermi level comes out at 2.916 states/eV per cell. Its density is 8.06 Mg/m³. The electronic total energy is -1.919 eV per atom.

***

Record 2
# Sr2GaHgPb

An optimized crystal structure of Sr2GaHgPb (GGA-PBE, Alexandria).

It has space group P4/mmm (No. 123), with a = 6.4148 Å, b = 6.4148 Å, c = 5.2885 Å, α = 90.00°, β = 90.00° and γ = 90.00°. The asymmetric unit holds Sr at (0.0000, 0.5000, 0.0000), Ga at (0.0000, 0.0000, 0.5000), Hg at (0.5000, 0.5000, 0.5000) and Pb at (0.0000, 0.0000, 0.0000).

The density of states at the Fermi level comes out at 4.287 states/eV per cell. Its density is 4.98 Mg/m³. The electronic total energy is -2.057 eV per atom.

***

Record 3
# Ga2TcHgPb

An optimized crystal structure of Ga2TcHgPb (GGA-PBE, Alexandria).

It has space group P4/mmm (No. 123), with a = 4.9217 Å, b = 4.9217 Å, c = 5.3137 Å, α = 90.00°, β = 90.00° and γ = 90.00°. The asymmetric unit holds Ga at (0.0000, 0.5000, 0.0000), Tc at (0.0000, 0.0000, 0.0000), Hg at (0.5000, 0.5000, 0.5000) and Pb at (0.0000, 0.0000, 0.5000).

The density of states at the Fermi level comes out at 2.546 states/eV per cell. Its density is 8.32 Mg/m³. The electronic total energy is -3.945 eV per atom.

***

Record 4
# TlGaHg2Pb

An optimized crystal structure of TlGaHg2Pb (GGA-PBE, Alexandria).

It has space group P4/mmm (No. 123), with a = 5.3168 Å, b = 5.3168 Å, c = 5.7146 Å, α = 90.00°, β = 90.00° and γ = 90.00°. The asymmetric unit holds Tl at (0.0000, 0.0000, 0.0000), Ga at (0.5000, 0.5000, 0.5000), Hg at (0.0000, 0.5000, 0.5000) and Pb at (0.5000, 0.5000, 0.0000).

The density of states at the Fermi level comes out at 2.470 states/eV per cell. Its density is 9.07 Mg/m³. The electronic total energy is -1.782 eV per atom.

***

Record 5
# Tl2GaHg2Pb

An optimized crystal structure of Tl2GaHg2Pb (GGA-PBE, Alexandria).

It has space group Ibam (No. 72), with a = 6.3990 Å, b = 16.6328 Å, c = 6.4191 Å, α = 90.00°, β = 90.00° and γ = 90.00°. The asymmetric unit holds Tl at (0.1989, 0.1783, 0.0000), Ga at (0.0000, 0.5000, 0.2500), Hg at (0.1887, 0.3678, 0.0000) and Pb at (0.0000, 0.0000, 0.2500).

The density of states at the Fermi level comes out at 8.298 states/eV per cell. Its density is 10.57 Mg/m³. The electronic total energy is -1.973 eV per atom.

***

Record 6
# TmGaHgPb

An optimized crystal structure of TmGaHgPb (GGA-PBE, Alexandria).

It has space group F-43m (No. 216), with a = 7.3964 Å, b = 7.3964 Å, c = 7.3964 Å, α = 90.00°, β = 90.00° and γ = 90.00°. The asymmetric unit holds Tm at (0.0000, 0.0000, 0.0000), Ga at (0.2500, 0.2500, 0.2500), Hg at (0.2500, 0.2500, 0.7500) and Pb at (0.0000, 0.0000, 0.5000).

The density of states at the Fermi level comes out at 10.761 states/eV per cell. Its density is 10.61 Mg/m³. The electronic total energy is -3.045 eV per atom.

***

Record 7
# GaHg3Pd

An optimized crystal structure of GaHg3Pd (GGA-PBE, Alexandria).

It has space group Pm-3m (No. 221), with a = 5.2737 Å, b = 5.2737 Å, c = 5.2737 Å, α = 90.00°, β = 90.00° and γ = 90.00°. The asymmetric unit holds Ga at (0.0000, 0.0000, 0.0000), Hg at (0.0000, 0.5000, 0.5000) and Pd at (0.5000, 0.5000, 0.5000).

The density of states at the Fermi level comes out at 2.295 states/eV per cell. The calculation puts the polymorph energy (0 for the lowest one) at 0 meV/atom. Its density is 8.81 Mg/m³. The electronic total energy is -1.674 eV per atom.

***

Record 8
# GaHgPd2

An optimized crystal structure of GaHgPd2 (GGA-PBE, Alexandria).

It has space group R3m (No. 160, hexagonal axes), with a = 4.0333 Å, b = 4.0333 Å, c = 15.9195 Å, α = 90.00°, β = 90.00° and γ = 120.00°. The asymmetric unit holds Ga at (0.0000, 0.0000, 0.0000), Hg at (0.0000, 0.0000, 0.1763), Pd at (0.0000, 0.0000, 0.3990) and Pd at (0.0000, 0.0000, 0.6098).

The density of states at the Fermi level comes out at 4.496 states/eV per cell. Its density is 10.73 Mg/m³. The electronic total energy is -3.738 eV per atom.

***

Record 9
# Ga2HgPd7

An optimized crystal structure of Ga2HgPd7 (GGA-PBE, Alexandria).

It has space group Cmmm (No. 65), with a = 7.3125 Å, b = 12.2797 Å, c = 4.4048 Å, α = 90.00°, β = 90.00° and γ = 90.00°. The asymmetric unit holds Ga at (0.0000, 0.1989, 0.0000), Hg at (0.0000, 0.5000, 0.5000), Pd at (0.0000, 0.0000, 0.0000), Pd at (0.0000, 0.2789, 0.5000) and Pd at (0.1880, 0.3806, 0.0000).

The density of states at the Fermi level comes out at 9.763 states/eV per cell. The calculation puts the polymorph energy (0 for the lowest one) at 340 meV/atom. Its density is 9.11 Mg/m³. The electronic total energy is -4.293 eV per atom.

***

Record 10
# GaHgPd

An optimized crystal structure of GaHgPd (GGA-PBE, Alexandria).

It has space group I4mm (No. 107), with a = 3.0557 Å, b = 3.0557 Å, c = 13.6191 Å, α = 90.00°, β = 90.00° and γ = 90.00°. The asymmetric unit holds Ga at (0.0000, 0.0000, 0.0000), Hg at (0.0000, 0.0000, 0.1974) and Pd at (0.0000, 0.0000, 0.3998).

The density of states at the Fermi level comes out at 1.998 states/eV per cell. The calculation puts the polymorph energy (0 for the lowest one) at 3 meV/atom. Its density is 9.84 Mg/m³. The electronic total energy is -3.021 eV per atom.

***

Record 11
# GaHg2Pd2

An optimized crystal structure of GaHg2Pd2 (GGA-PBE, Alexandria).

It has space group P4/mbm (No. 127), with a = 8.1014 Å, b = 8.1014 Å, c = 3.0099 Å, α = 90.00°, β = 90.00° and γ = 90.00°. The asymmetric unit holds Ga at (0.0000, 0.0000, 0.0000), Hg at (0.1682, 0.3318, 0.0000) and Pd at (0.1273, 0.6273, 0.5000).

The density of states at the Fermi level comes out at 2.208 states/eV per cell. The calculation puts the polymorph energy (0 for the lowest one) at 201 meV/atom. Its density is 11.49 Mg/m³. The electronic total energy is -2.836 eV per atom.

***

Record 12
# Ga2HgPd

An optimized crystal structure of Ga2HgPd (GGA-PBE, Alexandria).

It has space group I-42d (No. 122), with a = 4.1956 Å, b = 4.1956 Å, c = 17.8284 Å, α = 90.00°, β = 90.00° and γ = 90.00°. The asymmetric unit holds Ga at (0.2108, 0.2500, 0.1250), Hg at (0.0000, 0.0000, 0.5000) and Pd at (0.0000, 0.0000, 0.0000).

The density of states at the Fermi level comes out at 8.424 states/eV per cell. Its density is 9.45 Mg/m³. The electronic total energy is -2.991 eV per atom.

***

These records have formation energy values of -0.11 0.02 0.14 0.16 0.04 -0.17 0.15 -0.31 -0.02 -0.18 -0.03 -0.10 eV per atom, in the order they appear.